Record 1
This record from the Alexandria database describes a relaxed structure of KRb2MoI6. The functional is PBE.

## Properties
total energy	-3.220	eV per atom
space-group type	Fm-3m (225)
DOS(E_F)	0.00	states/eV/cell
formation energy without anion corrections	-0.90	eV/atom

Cell: 8.717 8.717 8.717 Å, 60.00 60.00 90.00°
Fractional coordinates of all 10 atoms:
I1 0.228 0.228 0.544
I2 0.772 0.772 0.456
I3 0.228 0.228 0.000
I4 0.772 0.772 0.000
I5 0.772 0.228 0.000
I6 0.228 0.772 0.000
Mo1 0.000 0.000 0.000
K1 0.500 0.500 0.000
Rb1 0.750 0.250 0.500
Rb2 0.250 0.750 0.500

***

Record 2
This record from the Alexandria database describes a relaxed structure of K2RbMoI8. The functional is PBE.

## Properties
total energy	-2.977	eV per atom
space-group type	P-1 (2)
DOS(E_F)	6.24	states/eV/cell
formation energy without anion corrections	-0.78	eV/atom

Cell: 7.965 6.528 10.196 Å, 73.35 90.08 91.28°
Fractional coordinates of all 12 atoms:
K1 0.517 0.316 0.825
K2 0.483 0.684 0.175
Rb1 0.000 0.000 0.500
Mo1 0.000 0.000 0.000
I1 0.005 0.651 0.237
I2 0.749 0.810 0.880
I3 0.760 0.176 0.131
I4 0.995 0.349 0.763
I5 0.251 0.190 0.120
I6 0.240 0.824 0.869
I7 0.500 0.750 0.505
I8 0.500 0.250 0.495

***

Record 3
This record from the Alexandria database describes a relaxed structure of KRbMoI6. The functional is PBE.

## Properties
total energy	-3.161	eV per atom
space-group type	P312 (149)
DOS(E_F)	7.90	states/eV/cell
formation energy without anion corrections	-0.69	eV/atom

Cell: 8.518 8.518 7.097 Å, 90.00 90.00 59.99°
Fractional coordinates of all 9 atoms:
K1 0.667 0.667 0.500
Rb1 0.000 0.000 0.000
Mo1 0.333 0.333 0.500
I1 0.065 0.340 0.270
I2 0.340 0.065 0.730
I3 0.595 0.340 0.730
I4 0.064 0.595 0.729
I5 0.340 0.595 0.270
I6 0.595 0.064 0.271

***

DOS(E_F) of number 3 (KRbMoI6)?
7.90 states/eV/cell

***

Which formula does entry 3 have?
KRbMoI6

***

Which of these has the highest formation energy without anion corrections?
KRbMoI6

***

DOS(E_F) of number 3 (KRbMoI6)?
7.90 states/eV/cell